Entry 1:
BaBeCoAs | PBE | optimized geometry

Cell lengths 4.939, 4.939, 4.939 Å; angles 60.00, 60.00, 60.00 degrees
Positions (direct):
Ba 0.000 0.000 0.000
Be 0.500 0.500 0.500
Co 0.250 0.250 0.250
As 0.750 0.750 0.750

Its offset from the most stable computed form is 105 meV per atom.

Entry 2:
NbRePO | PBE | optimized geometry

Cell lengths 4.158, 4.502, 5.646 Å; angles 90.00, 90.00, 90.00 degrees
Positions (direct):
Nb 0.000 0.126 0.000
Nb 0.000 0.874 0.500
Re 0.500 0.377 0.339
Re 0.500 0.623 0.839
P 0.500 0.133 0.710
P 0.500 0.867 0.210
O 0.000 0.321 0.357
O 0.000 0.679 0.857

Its offset from the most stable computed form is 92 meV per atom.

Entry 3:
LuHfZnCo | PBE | optimized geometry

Cell lengths 4.574, 4.574, 4.574 Å; angles 60.00, 60.00, 60.00 degrees
Positions (direct):
Lu 0.000 0.000 0.000
Hf 0.750 0.750 0.750
Zn 0.250 0.250 0.250
Co 0.500 0.500 0.500

Its offset from the most stable computed form is 0 meV per atom. The formation energy comes out at 7 kJ/mol of formula units.

Entry 4:
Nb2SN | PBE | optimized geometry

Cell lengths 5.757, 5.757, 12.022 Å; angles 103.67, 103.67, 59.67 degrees
Positions (direct):
Nb 0.022 0.895 0.602
Nb 0.105 0.978 0.898
Nb 0.189 0.347 0.091
Nb 0.268 0.499 0.407
Nb 0.347 0.189 0.591
Nb 0.499 0.268 0.907
Nb 0.501 0.732 0.093
Nb 0.653 0.811 0.409
Nb 0.732 0.501 0.593
Nb 0.811 0.653 0.909
Nb 0.895 0.022 0.102
Nb 0.978 0.105 0.398
S 0.085 0.255 0.754
S 0.255 0.085 0.254
S 0.419 0.581 0.750
S 0.581 0.419 0.250
S 0.745 0.915 0.746
S 0.915 0.745 0.246
N 0.000 0.500 0.500
N 0.186 0.642 0.995
N 0.358 0.814 0.505
N 0.500 0.000 0.000
N 0.642 0.186 0.495
N 0.814 0.358 0.005

Its offset from the most stable computed form is 0 meV per atom.

Entry 5:
Tb3Sn4Ge4 | PBE | optimized geometry

Cell lengths 9.262, 9.262, 9.262 Å; angles 154.59, 125.95, 60.64 degrees
Positions (direct):
Tb 0.000 0.000 0.000
Tb 0.366 0.866 0.500
Tb 0.634 0.134 0.500
Sn 0.195 0.195 0.000
Sn 0.303 0.500 0.803
Sn 0.697 0.500 0.197
Sn 0.805 0.805 0.000
Ge 0.060 0.325 0.735
Ge 0.410 0.675 0.735
Ge 0.590 0.325 0.265
Ge 0.940 0.675 0.265

The calculated total energy is -4.666 eV/atom.

Entry 6:
RbTmLu | PBE | optimized geometry

Cell lengths 5.868, 5.868, 5.868 Å; angles 60.00, 60.00, 60.00 degrees
Positions (direct):
Rb 0.000 0.000 0.000
Tm 0.500 0.500 0.500
Lu 0.250 0.250 0.250

Its offset from the most stable computed form is 0 meV per atom.

Which ρ belongs to each record? In order, 5.46; 10.25; 11.73; 6.98; 7.52; 4.99 Mg/m³.